No. 1
# TlRe3H | Alexandria via LeMat-Bulk | GGA-PBE | optimized geometry
# **Spin magnetization**: 5.487 Bohr magnetons per cell
# **ΔE to the lowest computed polymorph**: 3.152 eV per atom
# **Crystal system**: cubic
data_TlRe3H
_cell_length_a 5.053
_cell_length_b 5.053
_cell_length_c 5.053
_cell_angle_alpha 90.00
_cell_angle_beta 90.00
_cell_angle_gamma 90.00
_space_group_name_H-M_alt 'P m -3 m'
_space_group_IT_number 221
_space_group_name_Hall '-P 4 2 3'
loop_
_atom_site_label
_atom_site_type_symbol
_atom_site_fract_x
_atom_site_fract_y
_atom_site_fract_z
Tl1 Tl 0.000 0.000 0.000
Re1 Re 0.000 0.000 0.500
H1 H 0.500 0.500 0.500

---

No. 2
# TcPb3Se | Alexandria via LeMat-Bulk | GGA-PBE | optimized geometry
# **E_form (uncorrected)**: 0.2466 eV/atom
# **Spin magnetization**: 0.000 Bohr magnetons per cell
# **ΔE to the lowest computed polymorph**: 0.000 eV per atom
# **Crystal system**: cubic
data_TcPb3Se
_cell_length_a 5.286
_cell_length_b 5.286
_cell_length_c 5.286
_cell_angle_alpha 90.00
_cell_angle_beta 90.00
_cell_angle_gamma 90.00
_space_group_name_H-M_alt 'P m -3 m'
_space_group_IT_number 221
_space_group_name_Hall '-P 4 2 3'
loop_
_atom_site_label
_atom_site_type_symbol
_atom_site_fract_x
_atom_site_fract_y
_atom_site_fract_z
Tc1 Tc 0.000 0.000 0.000
Pb1 Pb 0.000 0.000 0.500
Se1 Se 0.500 0.500 0.500

---

No. 3
# BaPmSn4 | Alexandria via LeMat-Bulk | GGA-PBE | optimized geometry
# **Spin magnetization**: 0.000 Bohr magnetons per cell
# **Calculated formation energy**: -474 meV/atom
# **ΔE to the lowest computed polymorph**: 0.000 eV per atom
# **Crystal system**: triclinic
data_BaPmSn4
_cell_length_a 4.576
_cell_length_b 4.672
_cell_length_c 9.192
_cell_angle_alpha 93.07
_cell_angle_beta 90.30
_cell_angle_gamma 90.05
_space_group_name_H-M_alt 'P -1'
_space_group_IT_number 2
loop_
_space_group_symop_operation_xyz
'x,y,z'
'-x,-y,-z'
loop_
_atom_site_label
_atom_site_type_symbol
_atom_site_fract_x
_atom_site_fract_y
_atom_site_fract_z
Ba1 Ba 0.000 0.000 0.000
Pm1 Pm 0.500 0.000 0.500
Sn1 Sn 0.001 0.631 0.650
Sn2 Sn 0.498 0.586 0.194

---

No. 4
# LiEu2Sn | Alexandria via LeMat-Bulk | GGA-PBE | optimized geometry
# **Spin magnetization**: 57.333 Bohr magnetons per cell
# **Calculated formation energy**: -439 meV/atom
# **ΔE to the lowest computed polymorph**: 0.000 eV per atom
# **Crystal system**: cubic
data_LiEu2Sn
_cell_length_a 7.846
_cell_length_b 7.846
_cell_length_c 7.846
_cell_angle_alpha 90.00
_cell_angle_beta 90.00
_cell_angle_gamma 90.00
_space_group_name_H-M_alt 'F m -3 m'
_space_group_IT_number 225
_space_group_name_Hall '-F 4 2 3'
loop_
_atom_site_label
_atom_site_type_symbol
_atom_site_fract_x
_atom_site_fract_y
_atom_site_fract_z
Li1 Li 0.000 0.000 0.000
Eu1 Eu 0.250 0.250 0.250
Sn1 Sn 0.000 0.000 0.500

---

No. 5
# Ac2RuI | Alexandria via LeMat-Bulk | GGA-PBE | optimized geometry
# **E_form (uncorrected)**: -0.6712 eV/atom
# **Spin magnetization**: 0.000 Bohr magnetons per cell
# **ΔE to the lowest computed polymorph**: 0.013 eV per atom
# **Crystal system**: trigonal
data_Ac2RuI
_cell_length_a 4.3383
_cell_length_b 4.3383
_cell_length_c 26.0508
_cell_angle_alpha 90.00
_cell_angle_beta 90.00
_cell_angle_gamma 120.00
_space_group_name_H-M_alt 'R 3 m'
_space_group_IT_number 160
_space_group_name_Hall 'R 3 -2"'
loop_
_atom_site_label
_atom_site_type_symbol
_atom_site_fract_x
_atom_site_fract_y
_atom_site_fract_z
Ac1 Ac 0.0000 0.0000 0.0000
Ac2 Ac 0.0000 0.0000 0.2111
Ru1 Ru 0.0000 0.0000 0.6045
I1 I 0.0000 0.0000 0.7733

---

No. 6
# LiNdDy2Se4 | Alexandria via LeMat-Bulk | GGA-PBE | optimized geometry
# **E_form (uncorrected)**: -1.7491 eV/atom
# **Spin magnetization**: 0.000 Bohr magnetons per cell
# **Crystal system**: monoclinic
data_LiNdDy2Se4
_cell_length_a 7.114
_cell_length_b 4.086
_cell_length_c 7.123
_cell_angle_alpha 90.00
_cell_angle_beta 109.20
_cell_angle_gamma 90.00
_space_group_name_H-M_alt 'P 1 2/m 1'
_space_group_IT_number 10
loop_
_space_group_symop_operation_xyz
'x,y,z'
'-x,-y,-z'
'-x,y,-z'
'x,-y,z'
loop_
_atom_site_label
_atom_site_type_symbol
_atom_site_fract_x
_atom_site_fract_y
_atom_site_fract_z
Li1 Li 0.000 0.000 0.000
Nd1 Nd 0.500 0.500 0.000
Dy1 Dy 0.000 0.500 0.500
Dy2 Dy 0.500 0.000 0.500
Se1 Se 0.238 0.000 0.745
Se2 Se 0.243 0.500 0.251

---

No. 7
# TbDy5Sc5 | Alexandria via LeMat-Bulk | GGA-PBE | optimized geometry
# **Spin magnetization**: 2.341 Bohr magnetons per cell
# **Calculated formation energy**: 241 meV/atom
# **Crystal system**: hexagonal
data_TbDy5Sc5
_cell_length_a 5.7787
_cell_length_b 5.7787
_cell_length_c 11.3048
_cell_angle_alpha 90.00
_cell_angle_beta 90.00
_cell_angle_gamma 120.00
_space_group_name_H-M_alt 'P -6 m 2'
_space_group_IT_number 187
_space_group_name_Hall 'P -6 2'
loop_
_atom_site_label
_atom_site_type_symbol
_atom_site_fract_x
_atom_site_fract_y
_atom_site_fract_z
Tb1 Tb 0.0000 0.0000 0.0000
Dy1 Dy 0.0000 0.0000 0.3198
Dy2 Dy 0.3333 0.6667 0.1597
Dy3 Dy 0.6667 0.3333 0.0000
Sc1 Sc 0.5022 0.0044 0.5000
Sc2 Sc 0.6667 0.3333 0.2693

---

No. 8
# Sm4CdHg2 | Alexandria via LeMat-Bulk | GGA-PBE | optimized geometry
# **Spin magnetization**: 0.005 Bohr magnetons per cell
# **Calculated formation energy**: -127 meV/atom
# **ΔE to the lowest computed polymorph**: 0.144 eV per atom
# **Crystal system**: trigonal
data_Sm4CdHg2
_cell_length_a 5.2204
_cell_length_b 5.2204
_cell_length_c 28.1877
_cell_angle_alpha 90.00
_cell_angle_beta 90.00
_cell_angle_gamma 120.00
_space_group_name_H-M_alt 'R -3 m'
_space_group_IT_number 166
_space_group_name_Hall '-R 3 2"'
loop_
_atom_site_label
_atom_site_type_symbol
_atom_site_fract_x
_atom_site_fract_y
_atom_site_fract_z
Sm1 Sm 0.0000 0.0000 0.1236
Sm2 Sm 0.0000 0.0000 0.2902
Cd1 Cd 0.0000 0.0000 0.5000
Hg1 Hg 0.0000 0.0000 0.3988